Record 1
A plane-wave DFT calculation with GGA-PBE was carried out for a geometry-optimized Mg2In8Pb structure.

abc: 4.659 4.659 13.794
angles: 90.00 90.00 90.00
Element x y z (fractional)
Mg 0.000 0.000 0.334
Mg 0.000 0.000 0.666
In 0.000 0.500 0.500
In 0.500 0.000 0.500
In 0.500 0.500 0.331
In 0.500 0.500 0.669
In 0.000 0.500 0.167
In 0.500 0.000 0.167
In 0.000 0.500 0.833
In 0.500 0.000 0.833
Pb 0.000 0.000 0.000

Output
Volume: 299.4 Å³/cell
Total DFT energy (no corrections): -2.611 eV per atom

---

Record 2
A plane-wave DFT calculation with GGA-PBE was carried out for a geometry-optimized Mg9In4Pb11 structure.

abc: 3.505 13.708 13.708
angles: 98.40 90.00 90.00
Element x y z (fractional)
Mg 0.500 0.607 0.144
Mg 0.500 0.393 0.856
Mg 0.500 0.144 0.607
Mg 0.500 0.856 0.393
Mg 0.500 0.800 0.990
Mg 0.500 0.200 0.010
Mg 0.500 0.990 0.800
Mg 0.500 0.010 0.200
Mg 0.500 0.500 0.500
In 0.500 0.568 0.722
In 0.500 0.432 0.278
In 0.500 0.722 0.568
In 0.500 0.278 0.432
Pb 0.000 0.599 0.938
Pb 0.000 0.401 0.062
Pb 0.000 0.938 0.599
Pb 0.000 0.062 0.401
Pb 0.000 0.646 0.354
Pb 0.000 0.354 0.646
Pb 0.000 0.812 0.188
Pb 0.000 0.188 0.812
Pb 0.000 0.000 0.000
Pb 0.000 0.786 0.786
Pb 0.000 0.214 0.214

Output
Volume: 651.5 Å³/cell
Total DFT energy (no corrections): -2.775 eV per atom

---

Record 3
A plane-wave DFT calculation with GGA-PBE was carried out for a geometry-optimized MgIn2Pb5 structure.

abc: 6.760 6.760 6.761
angles: 106.30 106.32 116.01
Element x y z (fractional)
Mg 0.778 0.778 0.000
In 0.278 0.778 0.500
In 0.778 0.278 0.500
Pb 0.278 0.279 0.501
Pb 0.279 0.777 0.000
Pb 0.778 0.278 0.000
Pb 0.777 0.778 0.499
Pb 0.277 0.277 0.000

Output
Relative energy among the computed polymorphs: 32 meV per atom
Volume: 235.5 Å³/cell

---

Record 4
A plane-wave DFT calculation with GGA-PBE was carried out for a geometry-optimized MgInPb structure.

abc: 3.636 5.428 8.322
angles: 90.00 102.62 90.00
Element x y z (fractional)
Mg 0.394 0.250 0.789
Mg 0.606 0.750 0.211
Pb 0.935 0.750 0.869
Pb 0.065 0.250 0.131
In 0.738 0.250 0.476
In 0.262 0.750 0.524

Output
Volume: 160.3 Å³/cell
Total DFT energy (no corrections): -2.700 eV per atom

---

Record 5
A plane-wave DFT calculation with GGA-PBE was carried out for a geometry-optimized MgIn2Pb structure.

abc: 3.585 5.391 5.579
angles: 90.00 90.00 90.00
Element x y z (fractional)
Pb 0.000 0.500 0.500
Mg 0.500 0.000 0.500
In 0.000 0.000 0.000
In 0.500 0.500 0.000

Output
Volume: 107.8 Å³/cell
Total DFT energy (no corrections): -2.695 eV per atom

---

Record 6
A plane-wave DFT calculation with GGA-PBE was carried out for a geometry-optimized Mg4In2Pb structure.

abc: 5.089 5.085 15.398
angles: 90.00 90.00 120.02
Element x y z (fractional)
Mg 0.833 0.666 0.144
Mg 0.833 0.666 0.356
Mg 0.167 0.334 0.856
Mg 0.167 0.334 0.644
Mg 0.833 0.667 0.750
Mg 0.167 0.333 0.250
Mg 0.500 0.000 0.000
Mg 0.500 0.000 0.500
In 0.167 0.333 0.443
In 0.833 0.667 0.943
In 0.167 0.333 0.057
In 0.833 0.667 0.557
Pb 0.500 0.000 0.750
Pb 0.500 0.000 0.250

Output
Relative energy among the computed polymorphs: 0 meV per atom
Volume: 345.0 Å³/cell

---

Record 7
A plane-wave DFT calculation with GGA-PBE was carried out for a geometry-optimized Mg3In3Pb structure.

abc: 5.614 8.582 8.582
angles: 120.00 90.00 90.00
Element x y z (fractional)
Mg 0.250 0.807 0.765
Mg 0.250 0.235 0.042
Mg 0.250 0.958 0.193
Mg 0.750 0.193 0.235
Mg 0.750 0.765 0.958
Mg 0.750 0.042 0.807
In 0.750 0.634 0.537
In 0.750 0.463 0.097
In 0.750 0.903 0.366
In 0.250 0.366 0.463
In 0.250 0.537 0.903
In 0.250 0.097 0.634
Pb 0.250 0.667 0.333
Pb 0.750 0.333 0.667

Output
Relative energy among the computed polymorphs: 27 meV per atom
Volume: 358.1 Å³/cell

---

Record 8
A plane-wave DFT calculation with GGA-PBE was carried out for a geometry-optimized Mg12In5Pb2 structure.

abc: 6.369 8.890 9.709
angles: 101.99 90.00 110.99
Element x y z (fractional)
Mg 0.112 0.224 0.311
Mg 0.049 0.599 0.875
Mg 0.550 0.599 0.875
Mg 0.112 0.716 0.383
Mg 0.604 0.716 0.383
Mg 0.476 0.951 0.663
Mg 0.524 0.049 0.337
Mg 0.888 0.284 0.617
Mg 0.396 0.284 0.617
Mg 0.951 0.401 0.125
Mg 0.450 0.401 0.125
Mg 0.888 0.776 0.689
In 0.292 0.583 0.601
In 0.359 0.718 0.128
In 0.000 0.000 0.500
In 0.641 0.282 0.872
In 0.708 0.417 0.399
Pb 0.753 0.000 0.000
Pb 0.247 0.000 0.000

Output
Volume: 500.4 Å³/cell
Total DFT energy (no corrections): -2.081 eV per atom

---

> The lowest volume belongs to which entry?

MgIn2Pb

---

> Which of these has the highest volume?

Mg9In4Pb11

---

Repeat the eighth record exactly.
A plane-wave DFT calculation with GGA-PBE was carried out for a geometry-optimized Mg12In5Pb2 structure.

abc: 6.369 8.890 9.709
angles: 101.99 90.00 110.99
Element x y z (fractional)
Mg 0.112 0.224 0.311
Mg 0.049 0.599 0.875
Mg 0.550 0.599 0.875
Mg 0.112 0.716 0.383
Mg 0.604 0.716 0.383
Mg 0.476 0.951 0.663
Mg 0.524 0.049 0.337
Mg 0.888 0.284 0.617
Mg 0.396 0.284 0.617
Mg 0.951 0.401 0.125
Mg 0.450 0.401 0.125
Mg 0.888 0.776 0.689
In 0.292 0.583 0.601
In 0.359 0.718 0.128
In 0.000 0.000 0.500
In 0.641 0.282 0.872
In 0.708 0.417 0.399
Pb 0.753 0.000 0.000
Pb 0.247 0.000 0.000

Output
Volume: 500.4 Å³/cell
Total DFT energy (no corrections): -2.081 eV per atom